Here is NaCaIr2 at its PBEsol-relaxed geometry from Alexandria via LeMat-Bulk. Energies are from SCAN.

abc: 4.626 4.626 4.626
angles: 60.00 60.00 60.00
Fractional positions:
1 Na 0.000 0.000 0.000
2 Ir 0.250 0.250 0.250
3 Ir 0.750 0.750 0.750
4 Ca 0.500 0.500 0.500

- VASP energy: -2.8273 Ry/atom